1 | An optimized crystal structure of CaNF2, computed with PBE.

Structure (CIF):
```
data_CaNF2
_chemical_formula_sum 'Ca4 N4 F8'
_cell_length_a 4.7140
_cell_length_b 4.7140
_cell_length_c 13.2597
_cell_angle_alpha 90.00
_cell_angle_beta 90.00
_cell_angle_gamma 90.00
_space_group_name_H-M_alt 'I -4 2 d'
_space_group_IT_number 122
_space_group_name_Hall 'I -4 2bw'
loop_
_atom_site_label
_atom_site_type_symbol
_atom_site_fract_x
_atom_site_fract_y
_atom_site_fract_z
Ca1 Ca 0.0000 0.0000 0.0000
N1 N 0.0000 0.0000 0.5000
F1 F 0.1653 0.2500 0.1250
```

Properties
volume	294.6	Å³/cell
N(E_F)	0.000	states/eV/atom
total magnetization	0.75	μB per atom

---

2 | An optimized crystal structure of CaNF2, computed with PBE.

Structure (CIF):
```
data_CaNF2
_chemical_formula_sum 'Ca2 N2 F4'
_cell_length_a 6.2917
_cell_length_b 3.6426
_cell_length_c 6.6699
_cell_angle_alpha 90.00
_cell_angle_beta 93.61
_cell_angle_gamma 90.00
_space_group_name_H-M_alt 'C 1 2/m 1'
_space_group_IT_number 12
loop_
_space_group_symop_operation_xyz
'x,y,z'
'-x,-y,-z'
'-x,y,-z'
'x,-y,z'
'x+1/2,y+1/2,z'
'-x+1/2,-y+1/2,-z'
'-x+1/2,y+1/2,-z'
'x+1/2,-y+1/2,z'
loop_
_atom_site_label
_atom_site_type_symbol
_atom_site_fract_x
_atom_site_fract_y
_atom_site_fract_z
Ca1 Ca 0.0000 0.0000 0.0000
N1 N 0.0000 0.0000 0.5000
F1 F 0.1573 0.5000 0.8588
```

Properties
volume	152.6	Å³/cell
N(E_F)	0.000	states/eV/atom
total magnetization	0.75	μB per atom

---

3 | An optimized crystal structure of CaNF2, computed with PBE.

Structure (CIF):
```
data_CaNF2
_chemical_formula_sum 'Ca3 N3 F6'
_cell_length_a 3.7847
_cell_length_b 3.7847
_cell_length_c 14.2330
_cell_angle_alpha 90.00
_cell_angle_beta 90.00
_cell_angle_gamma 120.00
_space_group_name_H-M_alt 'R -3 m'
_space_group_IT_number 166
_space_group_name_Hall '-R 3 2"'
loop_
_atom_site_label
_atom_site_type_symbol
_atom_site_fract_x
_atom_site_fract_y
_atom_site_fract_z
Ca1 Ca 0.0000 0.0000 0.0000
N1 N 0.0000 0.0000 0.5000
F1 F 0.0000 0.0000 0.2757
```

Properties
volume	176.6	Å³/cell
N(E_F)	0.000	states/eV/atom
total magnetization	0.75	μB per atom

---

4 | An optimized crystal structure of CaNF2, computed with PBE.

Structure (CIF):
```
data_CaNF2
_chemical_formula_sum 'Ca3 N3 F6'
_cell_length_a 3.8806
_cell_length_b 3.8806
_cell_length_c 15.1145
_cell_angle_alpha 90.00
_cell_angle_beta 90.00
_cell_angle_gamma 120.00
_space_group_name_H-M_alt 'R -3 m'
_space_group_IT_number 166
_space_group_name_Hall '-R 3 2"'
loop_
_atom_site_label
_atom_site_type_symbol
_atom_site_fract_x
_atom_site_fract_y
_atom_site_fract_z
Ca1 Ca 0.0000 0.0000 0.0000
N1 N 0.0000 0.0000 0.5000
F1 F 0.0000 0.0000 0.3751
```

Properties
volume	197.1	Å³/cell
N(E_F)	0.307	states/eV/atom
total magnetization	0.25	μB per atom

---

Most stable structure, least stable structure: 2, 4.

---

1 | An optimized crystal structure of CaNF3, computed with PBE.

Structure (CIF):
```
data_CaNF3
_chemical_formula_sum 'Ca1 N1 F3'
_cell_length_a 4.5023
_cell_length_b 4.5023
_cell_length_c 4.5023
_cell_angle_alpha 90.00
_cell_angle_beta 90.00
_cell_angle_gamma 90.00
_space_group_name_H-M_alt 'P m -3 m'
_space_group_IT_number 221
_space_group_name_Hall '-P 4 2 3'
loop_
_atom_site_label
_atom_site_type_symbol
_atom_site_fract_x
_atom_site_fract_y
_atom_site_fract_z
Ca1 Ca 0.0000 0.0000 0.0000
N1 N 0.5000 0.5000 0.5000
F1 F 0.0000 0.0000 0.5000
```

Properties
volume	91.3	Å³/cell
N(E_F)	3.691	states/eV/atom
total magnetization	0.40	μB per atom

---

2 | An optimized crystal structure of CaNF3, computed with PBE.

Structure (CIF):
```
data_CaNF3
_chemical_formula_sum 'Ca2 N2 F6'
_cell_length_a 3.6228
_cell_length_b 5.9894
_cell_length_c 7.9685
_cell_angle_alpha 91.46
_cell_angle_beta 98.02
_cell_angle_gamma 90.10
_space_group_name_H-M_alt 'P -1'
_space_group_IT_number 2
loop_
_space_group_symop_operation_xyz
'x,y,z'
'-x,-y,-z'
loop_
_atom_site_label
_atom_site_type_symbol
_atom_site_fract_x
_atom_site_fract_y
_atom_site_fract_z
Ca1 Ca 0.2268 0.2475 0.4253
N1 N 0.0216 0.7547 0.0870
F1 F 0.2479 0.2547 0.0481
F2 F 0.2898 0.5262 0.6303
F3 F 0.2908 0.9829 0.6302
```

Properties
volume	171.2	Å³/cell
N(E_F)	0.000	states/eV/atom
total magnetization	0.40	μB per atom

---

Most stable structure, least stable structure: 2, 1.

---

1 | An optimized crystal structure of NaCaN2F, computed with PBE.

Structure (CIF):
```
data_NaCaN2F
_chemical_formula_sum 'Na1 Ca1 N2 F1'
_cell_length_a 4.3190
_cell_length_b 4.3190
_cell_length_c 3.7920
_cell_angle_alpha 90.00
_cell_angle_beta 90.00
_cell_angle_gamma 90.00
_space_group_name_H-M_alt 'P 4/m m m'
_space_group_IT_number 123
_space_group_name_Hall '-P 4 2'
loop_
_atom_site_label
_atom_site_type_symbol
_atom_site_fract_x
_atom_site_fract_y
_atom_site_fract_z
Na1 Na 0.0000 0.0000 0.0000
Ca1 Ca 0.5000 0.5000 0.0000
N1 N 0.0000 0.5000 0.5000
F1 F 0.0000 0.0000 0.5000
```

Properties
volume	70.7	Å³/cell
N(E_F)	0.521	states/eV/atom
total magnetization	0.33	μB per atom

---

2 | An optimized crystal structure of NaCaN2F, computed with PBE.

Structure (CIF):
```
data_NaCaN2F
_chemical_formula_sum 'Na1 Ca1 N2 F1'
_cell_length_a 4.4018
_cell_length_b 4.4018
_cell_length_c 4.0385
_cell_angle_alpha 90.00
_cell_angle_beta 90.00
_cell_angle_gamma 90.00
_space_group_name_H-M_alt 'P 4/m m m'
_space_group_IT_number 123
_space_group_name_Hall '-P 4 2'
loop_
_atom_site_label
_atom_site_type_symbol
_atom_site_fract_x
_atom_site_fract_y
_atom_site_fract_z
Na1 Na 0.0000 0.0000 0.0000
Ca1 Ca 0.5000 0.5000 0.5000
N1 N 0.0000 0.5000 0.0000
F1 F 0.0000 0.0000 0.5000
```

Properties
volume	78.3	Å³/cell
N(E_F)	0.356	states/eV/atom
total magnetization	0.80	μB per atom

---

3 | An optimized crystal structure of NaCaN2F, computed with PBE.

Structure (CIF):
```
data_NaCaN2F
_chemical_formula_sum 'Na1 Ca1 N2 F1'
_cell_length_a 4.7723
_cell_length_b 4.7723
_cell_length_c 4.3843
_cell_angle_alpha 90.00
_cell_angle_beta 90.00
_cell_angle_gamma 90.00
_space_group_name_H-M_alt 'P 4/m m m'
_space_group_IT_number 123
_space_group_name_Hall '-P 4 2'
loop_
_atom_site_label
_atom_site_type_symbol
_atom_site_fract_x
_atom_site_fract_y
_atom_site_fract_z
Na1 Na 0.0000 0.0000 0.0000
Ca1 Ca 0.5000 0.5000 0.5000
N1 N 0.0000 0.5000 0.5000
F1 F 0.5000 0.5000 0.0000
```

Properties
volume	99.9	Å³/cell
N(E_F)	0.394	states/eV/atom
total magnetization	0.80	μB per atom

---

Most stable structure, least stable structure: 3, 1.

---

1 | An optimized crystal structure of CaOsNF2, computed with PBE.

Structure (CIF):
```
data_CaOsNF2
_chemical_formula_sum 'Ca1 Os1 N1 F2'
_cell_length_a 4.0430
_cell_length_b 4.0430
_cell_length_c 5.1961
_cell_angle_alpha 90.00
_cell_angle_beta 90.00
_cell_angle_gamma 90.00
_space_group_name_H-M_alt 'P 4/m m m'
_space_group_IT_number 123
_space_group_name_Hall '-P 4 2'
loop_
_atom_site_label
_atom_site_type_symbol
_atom_site_fract_x
_atom_site_fract_y
_atom_site_fract_z
Ca1 Ca 0.0000 0.0000 0.0000
Os1 Os 0.5000 0.5000 0.5000
N1 N 0.0000 0.0000 0.5000
F1 F 0.0000 0.5000 0.0000
```

Properties
volume	84.9	Å³/cell
N(E_F)	0.544	states/eV/atom
total magnetization	0.89	μB per atom

---

2 | An optimized crystal structure of CaOsNF2, computed with PBE.

Structure (CIF):
```
data_CaOsNF2
_chemical_formula_sum 'Ca1 Os1 N1 F2'
_cell_length_a 4.3936
_cell_length_b 4.3936
_cell_length_c 3.8019
_cell_angle_alpha 90.00
_cell_angle_beta 90.00
_cell_angle_gamma 90.00
_space_group_name_H-M_alt 'P 4/m m m'
_space_group_IT_number 123
_space_group_name_Hall '-P 4 2'
loop_
_atom_site_label
_atom_site_type_symbol
_atom_site_fract_x
_atom_site_fract_y
_atom_site_fract_z
Ca1 Ca 0.0000 0.0000 0.0000
Os1 Os 0.5000 0.5000 0.5000
N1 N 0.5000 0.5000 0.0000
F1 F 0.0000 0.5000 0.5000
```

Properties
volume	73.4	Å³/cell
N(E_F)	0.335	states/eV/atom
total magnetization	0.04	μB per atom

---

Most stable structure, least stable structure: 2, 1.

---

1 | An optimized crystal structure of CaPbN2F, computed with PBE.

Structure (CIF):
```
data_CaPbN2F
_chemical_formula_sum 'Ca1 Pb1 N2 F1'
_cell_length_a 4.2820
_cell_length_b 4.2820
_cell_length_c 4.4867
_cell_angle_alpha 90.00
_cell_angle_beta 90.00
_cell_angle_gamma 90.00
_space_group_name_H-M_alt 'P 4/m m m'
_space_group_IT_number 123
_space_group_name_Hall '-P 4 2'
loop_
_atom_site_label
_atom_site_type_symbol
_atom_site_fract_x
_atom_site_fract_y
_atom_site_fract_z
Ca1 Ca 0.0000 0.0000 0.0000
Pb1 Pb 0.5000 0.5000 0.5000
N1 N 0.0000 0.5000 0.5000
F1 F 0.5000 0.5000 0.0000
```

Properties
volume	82.3	Å³/cell
N(E_F)	0.313	states/eV/atom
total magnetization	0.07	μB per atom

---

2 | An optimized crystal structure of CaPbN2F, computed with PBE.

Structure (CIF):
```
data_CaPbN2F
_chemical_formula_sum 'Ca1 Pb1 N2 F1'
_cell_length_a 4.6441
_cell_length_b 4.6441
_cell_length_c 4.2283
_cell_angle_alpha 90.00
_cell_angle_beta 90.00
_cell_angle_gamma 90.00
_space_group_name_H-M_alt 'P 4/m m m'
_space_group_IT_number 123
_space_group_name_Hall '-P 4 2'
loop_
_atom_site_label
_atom_site_type_symbol
_atom_site_fract_x
_atom_site_fract_y
_atom_site_fract_z
Ca1 Ca 0.0000 0.0000 0.0000
Pb1 Pb 0.5000 0.5000 0.5000
N1 N 0.0000 0.5000 0.0000
F1 F 0.0000 0.0000 0.5000
```

Properties
volume	91.2	Å³/cell
N(E_F)	0.567	states/eV/atom
total magnetization	0.60	μB per atom

---

Most stable structure, least stable structure: 1, 2.

---

1 | An optimized crystal structure of CaPdN2F, computed with PBE.

Structure (CIF):
```
data_CaPdN2F
_chemical_formula_sum 'Ca1 Pd1 N2 F1'
_cell_length_a 3.8315
_cell_length_b 3.8315
_cell_length_c 5.0839
_cell_angle_alpha 90.00
_cell_angle_beta 90.00
_cell_angle_gamma 90.00
_space_group_name_H-M_alt 'P 4/m m m'
_space_group_IT_number 123
_space_group_name_Hall '-P 4 2'
loop_
_atom_site_label
_atom_site_type_symbol
_atom_site_fract_x
_atom_site_fract_y
_atom_site_fract_z
Ca1 Ca 0.0000 0.0000 0.0000
Pd1 Pd 0.5000 0.5000 0.5000
N1 N 0.0000 0.5000 0.5000
F1 F 0.5000 0.5000 0.0000
```

Properties
volume	74.6	Å³/cell
N(E_F)	0.755	states/eV/atom
total magnetization	0.21	μB per atom

---

2 | An optimized crystal structure of CaPdN2F, computed with PBE.

Structure (CIF):
```
data_CaPdN2F
_chemical_formula_sum 'Ca1 Pd1 N2 F1'
_cell_length_a 4.7036
_cell_length_b 4.7036
_cell_length_c 4.1931
_cell_angle_alpha 90.00
_cell_angle_beta 90.00
_cell_angle_gamma 90.00
_space_group_name_H-M_alt 'P 4/m m m'
_space_group_IT_number 123
_space_group_name_Hall '-P 4 2'
loop_
_atom_site_label
_atom_site_type_symbol
_atom_site_fract_x
_atom_site_fract_y
_atom_site_fract_z
Ca1 Ca 0.0000 0.0000 0.0000
Pd1 Pd 0.5000 0.5000 0.5000
N1 N 0.0000 0.5000 0.0000
F1 F 0.0000 0.0000 0.5000
```

Properties
volume	92.8	Å³/cell
N(E_F)	0.856	states/eV/atom
total magnetization	1.01	μB per atom

---

Most stable structure, least stable structure: 1, 2.